Record 1
# SmTm4Pd5 PBE-GGA optimized geometry
data_SmTm4Pd5
_space_group_name_H-M_alt 'P 4/m m m'
_space_group_IT_number 123
_space_group_name_Hall '-P 4 2'
_cell_length_a 3.4505
_cell_length_b 3.4505
_cell_length_c 17.7798
_cell_angle_alpha 90.00
_cell_angle_beta 90.00
_cell_angle_gamma 90.00
loop_
_atom_site_label
_atom_site_type_symbol
_atom_site_fract_x
_atom_site_fract_y
_atom_site_fract_z
_atom_site_occupancy
Sm1 Sm 0.0000 0.0000 0.0000 1
Tm1 Tm 0.0000 0.0000 0.2049 1
Tm2 Tm 0.0000 0.0000 0.4018 1
Pd1 Pd 0.5000 0.5000 0.1106 1
Pd2 Pd 0.5000 0.5000 0.3035 1
Pd3 Pd 0.5000 0.5000 0.5000 1
# Calculated volume   211.7 Å³/cell
# Magnetic moment   0.000 μB per atom
# Crystal system   tetragonal
# Formation enthalpy at 0 K   -0.904 eV per atom

***

Record 2
# NaSmAl4 PBE-GGA optimized geometry
data_NaSmAl4
_space_group_name_H-M_alt 'F -4 3 m'
_space_group_IT_number 216
_space_group_name_Hall 'F -4 2 3'
_cell_length_a 7.9447
_cell_length_b 7.9447
_cell_length_c 7.9447
_cell_angle_alpha 90.00
_cell_angle_beta 90.00
_cell_angle_gamma 90.00
loop_
_atom_site_label
_atom_site_type_symbol
_atom_site_fract_x
_atom_site_fract_y
_atom_site_fract_z
_atom_site_occupancy
Na1 Na 0.0000 0.0000 0.0000 1
Sm1 Sm 0.2500 0.2500 0.7500 1
Al1 Al 0.1243 0.1243 0.3757 1
# Calculated volume   501.5 Å³/cell
# Magnetic moment   0.000 μB per atom
# Crystal system   cubic
# Formation enthalpy at 0 K   -0.224 eV per atom

***

Record 3
# K3PrTl2O6 PBE-GGA optimized geometry
data_K3PrTl2O6
_space_group_name_H-M_alt 'C 1 2/m 1'
_space_group_IT_number 12
_cell_length_a 6.1321
_cell_length_b 10.6298
_cell_length_c 6.6270
_cell_angle_alpha 90.00
_cell_angle_beta 107.87
_cell_angle_gamma 90.00
loop_
_space_group_symop_operation_xyz
'x,y,z'
'-x,-y,-z'
'-x,y,-z'
'x,-y,z'
'x+1/2,y+1/2,z'
'-x+1/2,-y+1/2,-z'
'-x+1/2,y+1/2,-z'
'x+1/2,-y+1/2,z'
loop_
_atom_site_label
_atom_site_type_symbol
_atom_site_fract_x
_atom_site_fract_y
_atom_site_fract_z
_atom_site_occupancy
K1 K 0.0000 0.0000 0.0000 1
K2 K 0.0000 0.3287 0.0000 1
Pr1 Pr 0.0000 0.5000 0.5000 1
Tl1 Tl 0.0000 0.1663 0.5000 1
O1 O 0.2251 0.0000 0.6999 1
O2 O 0.2368 0.3294 0.6986 1
# Calculated volume   411.1 Å³/cell
# Magnetic moment   0.000 μB per atom
# Formation energy from raw total energies   -1.5256 eV per atom
# Crystal system   monoclinic

***

Record 4
# CrGa2Tc PBE-GGA optimized geometry
data_CrGa2Tc
_space_group_name_H-M_alt 'I -4 2 d'
_space_group_IT_number 122
_space_group_name_Hall 'I -4 2bw'
_cell_length_a 6.7820
_cell_length_b 6.7820
_cell_length_c 5.2571
_cell_angle_alpha 90.00
_cell_angle_beta 90.00
_cell_angle_gamma 90.00
loop_
_atom_site_label
_atom_site_type_symbol
_atom_site_fract_x
_atom_site_fract_y
_atom_site_fract_z
_atom_site_occupancy
Cr1 Cr 0.0000 0.0000 0.0000 1
Ga1 Ga 0.2420 0.2500 0.1250 1
Tc1 Tc 0.0000 0.0000 0.5000 1
# Energy relative to the lowest polymorph listed for this composition   0.515 eV/atom
# Calculated volume   241.8 Å³/cell
# Magnetic moment   0.000 μB per atom
# Crystal system   tetragonal
# Formation enthalpy at 0 K   0.495 eV per atom

***

Record 5
# ErTm6S8 PBE-GGA optimized geometry
data_ErTm6S8
_space_group_name_H-M_alt 'F m -3 m'
_space_group_IT_number 225
_space_group_name_Hall '-F 4 2 3'
_cell_length_a 10.8499
_cell_length_b 10.8499
_cell_length_c 10.8499
_cell_angle_alpha 90.00
_cell_angle_beta 90.00
_cell_angle_gamma 90.00
loop_
_atom_site_label
_atom_site_type_symbol
_atom_site_fract_x
_atom_site_fract_y
_atom_site_fract_z
_atom_site_occupancy
Er1 Er 0.0000 0.0000 0.0000 1
Tm1 Tm 0.0000 0.2500 0.2500 1
S1 S 0.0000 0.0000 0.2521 1
S2 S 0.2500 0.2500 0.2500 1
# Calculated volume   1277.2 Å³/cell
# Magnetic moment   0.000 μB per atom
# Formation energy from raw total energies   -2.0143 eV per atom
# Crystal system   cubic

***

Record 6
# Ta2ZnOs PBE-GGA optimized geometry
data_Ta2ZnOs
_space_group_name_H-M_alt 'P 1 2/m 1'
_space_group_IT_number 10
_cell_length_a 2.9950
_cell_length_b 3.8984
_cell_length_c 5.5777
_cell_angle_alpha 90.00
_cell_angle_beta 92.18
_cell_angle_gamma 90.00
loop_
_space_group_symop_operation_xyz
'x,y,z'
'-x,-y,-z'
'-x,y,-z'
'x,-y,z'
loop_
_atom_site_label
_atom_site_type_symbol
_atom_site_fract_x
_atom_site_fract_y
_atom_site_fract_z
_atom_site_occupancy
Ta1 Ta 0.0159 0.0000 0.2597 1
Zn1 Zn 0.5000 0.5000 0.0000 1
Os1 Os 0.5000 0.5000 0.5000 1
# Calculated volume   65.1 Å³/cell
# Magnetic moment   0.000 μB per atom
# Crystal system   monoclinic
# Formation enthalpy at 0 K   -0.077 eV per atom

***

Record 7
# LiBi2S4 PBE-GGA optimized geometry
data_LiBi2S4
_space_group_name_H-M_alt 'I 4/m m m'
_space_group_IT_number 139
_space_group_name_Hall '-I 4 2'
_cell_length_a 4.3546
_cell_length_b 4.3546
_cell_length_c 15.5862
_cell_angle_alpha 90.00
_cell_angle_beta 90.00
_cell_angle_gamma 90.00
loop_
_atom_site_label
_atom_site_type_symbol
_atom_site_fract_x
_atom_site_fract_y
_atom_site_fract_z
_atom_site_occupancy
Li1 Li 0.0000 0.0000 0.0000 1
Bi1 Bi 0.0000 0.0000 0.3601 1
S1 S 0.0000 0.0000 0.1837 1
S2 S 0.0000 0.5000 0.0000 1
# Energy relative to the lowest polymorph listed for this composition   0.194 eV/atom
# Calculated volume   295.6 Å³/cell
# Magnetic moment   0.000 μB per atom
# Formation energy from raw total energies   -0.2004 eV per atom
# Crystal system   tetragonal

***

Record 8
# Ba3NiBr PBE-GGA optimized geometry
data_Ba3NiBr
_space_group_name_H-M_alt 'P 1 21/m 1'
_space_group_IT_number 11
_cell_length_a 8.5117
_cell_length_b 4.3213
_cell_length_c 11.6489
_cell_angle_alpha 90.00
_cell_angle_beta 101.27
_cell_angle_gamma 90.00
loop_
_space_group_symop_operation_xyz
'x,y,z'
'-x,-y,-z'
'-x,y+1/2,-z'
'x,-y+1/2,z'
loop_
_atom_site_label
_atom_site_type_symbol
_atom_site_fract_x
_atom_site_fract_y
_atom_site_fract_z
_atom_site_occupancy
Ba1 Ba 0.1506 0.2500 0.3113 1
Ba2 Ba 0.2235 0.2500 0.9494 1
Ba3 Ba 0.3134 0.7500 0.6304 1
Ni1 Ni 0.0211 0.2500 0.5423 1
Br1 Br 0.4330 0.7500 0.1598 1
# Energy relative to the lowest polymorph listed for this composition   0.000 eV/atom
# Calculated volume   420.2 Å³/cell
# Magnetic moment   0.101 μB per atom
# Formation energy from raw total energies   -0.6022 eV per atom
# Crystal system   monoclinic

***

Record 9
# TmAlSe3 PBE-GGA optimized geometry
data_TmAlSe3
_space_group_name_H-M_alt 'A m a 2'
_space_group_IT_number 40
_cell_length_a 3.9937
_cell_length_b 23.4785
_cell_length_c 6.6044
_cell_angle_alpha 90.00
_cell_angle_beta 90.00
_cell_angle_gamma 90.00
loop_
_space_group_symop_operation_xyz
'x,y,z'
'-x,-y,z'
'-x+1/2,y,z'
'x+1/2,-y,z'
'x,y+1/2,z+1/2'
'-x,-y+1/2,z+1/2'
'-x+1/2,y+1/2,z+1/2'
'x+1/2,-y+1/2,z+1/2'
loop_
_atom_site_label
_atom_site_type_symbol
_atom_site_fract_x
_atom_site_fract_y
_atom_site_fract_z
_atom_site_occupancy
Tm1 Tm 0.2500 0.1748 0.0000 1
Al1 Al 0.2500 0.3713 0.9276 1
Se1 Se 0.2500 0.0827 0.2842 1
Se2 Se 0.2500 0.2778 0.7629 1
Se3 Se 0.2500 0.3799 0.2853 1
# Calculated volume   619.3 Å³/cell
# Magnetic moment   0.000 μB per atom
# Formation energy from raw total energies   -1.3566 eV per atom
# Crystal system   orthorhombic

***

Record 10
# Y2TiGaH PBE-GGA optimized geometry
data_Y2TiGaH
_space_group_name_H-M_alt 'P 4/m m m'
_space_group_IT_number 123
_space_group_name_Hall '-P 4 2'
_cell_length_a 4.6903
_cell_length_b 4.6903
_cell_length_c 4.2561
_cell_angle_alpha 90.00
_cell_angle_beta 90.00
_cell_angle_gamma 90.00
loop_
_atom_site_label
_atom_site_type_symbol
_atom_site_fract_x
_atom_site_fract_y
_atom_site_fract_z
_atom_site_occupancy
Y1 Y 0.0000 0.5000 0.0000 1
Ti1 Ti 0.0000 0.0000 0.5000 1
Ga1 Ga 0.5000 0.5000 0.5000 1
H1 H 0.0000 0.0000 0.0000 1
# Calculated volume   93.6 Å³/cell
# Magnetic moment   0.182 μB per atom
# E   -5.7055 eV per atom
# Crystal system   tetragonal

***

Record 11
# AcInAsAu PBE-GGA optimized geometry
data_AcInAsAu
_space_group_name_H-M_alt 'F -4 3 m'
_space_group_IT_number 216
_space_group_name_Hall 'F -4 2 3'
_cell_length_a 7.5139
_cell_length_b 7.5139
_cell_length_c 7.5139
_cell_angle_alpha 90.00
_cell_angle_beta 90.00
_cell_angle_gamma 90.00
loop_
_atom_site_label
_atom_site_type_symbol
_atom_site_fract_x
_atom_site_fract_y
_atom_site_fract_z
_atom_site_occupancy
Ac1 Ac 0.0000 0.0000 0.0000 1
In1 In 0.0000 0.0000 0.5000 1
As1 As 0.2500 0.2500 0.7500 1
Au1 Au 0.2500 0.2500 0.2500 1
# Calculated volume   424.2 Å³/cell
# Magnetic moment   0.000 μB per atom
# Crystal system   cubic
# Formation enthalpy at 0 K   -0.602 eV per atom